## Pa2Co4H (PBE)

Data for Pa2Co4H after structural relaxation.

Cell lengths 3.8048, 3.8048, 7.0209 Å; angles 74.28, 74.28, 90.00 degrees
Sites, in units of the cell vectors:
Co 0.8620 0.8620 0.2760
Co 0.1380 0.1380 0.7240
Co 0.0000 0.5000 0.0000
Co 0.5000 0.0000 0.0000
H 0.0000 0.0000 0.0000
Pa 0.3449 0.3449 0.3101
Pa 0.6551 0.6551 0.6899

Computed properties:
Its space-group type is I4/mmm (139). Its distance to the lowest polymorph of the same formula is 0.0 meV per atom. The value obtained for the total magnetic moment is 0.000 μB per atom.


## Pa2Co6H (PBE)

Data for Pa2Co6H after structural relaxation.

Cell lengths 5.4064, 5.4064, 5.4064 Å; angles 60.00, 60.00, 60.00 degrees
Last column: magnetic moment on the atom in μB.
Sites, in units of the cell vectors:
Co 0.7507 0.2492 0.7508  0.51
Co 0.2493 0.7508 0.2492  0.51
Co 0.2492 0.2492 0.7507  0.51
Co 0.7508 0.7508 0.2493  0.51
Co 0.7508 0.2493 0.2492  0.51
Co 0.2492 0.7507 0.7508  0.51
Pa 0.2500 0.2500 0.2500  -0.34
Pa 0.7500 0.7500 0.7500  -0.34
H 0.5000 0.5000 0.5000  -0.01

Computed properties:
Its space-group type is Fm-3m (225). The total energy is -7.53 eV/atom. The value obtained for the total magnetic moment is 0.244 μB per atom.


## Pa2Co2H7 (PBE)

Data for Pa2Co2H7 after structural relaxation.

Cell lengths 3.7409, 5.2297, 5.2297 Å; angles 106.64, 80.72, 80.72 degrees
Sites, in units of the cell vectors:
H 0.2864 0.4637 0.4637
H 0.1126 0.6269 0.9561
H 0.7136 0.5363 0.5363
H 0.0000 0.0000 0.0000
H 0.1126 0.9561 0.6269
H 0.8874 0.0439 0.3731
H 0.8874 0.3731 0.0439
Pa 0.5000 0.2215 0.7785
Pa 0.5000 0.7785 0.2215
Co 0.9307 0.7240 0.7240
Co 0.0693 0.2760 0.2760

Computed properties:
Its space-group type is C2/m (12). The total energy is -5.29 eV/atom. The value obtained for the total magnetic moment is 0.000 μB per atom.


## Pa2Co3H12Pd (PBE)

Data for Pa2Co3H12Pd after structural relaxation.

Cell lengths 5.9207, 5.9207, 5.9207 Å; angles 57.96, 57.96, 57.96 degrees
Last column: magnetic moment on the atom in μB.
Sites, in units of the cell vectors:
Pd 0.0000 0.0000 0.0000  -0.04
Co 0.0000 0.0000 0.5000  0.47
Co 0.0000 0.5000 0.0000  0.47
Co 0.5000 0.0000 0.0000  0.47
H 0.6718 0.6718 0.1382  -0.01
H 0.6084 0.1106 0.1106  -0.01
H 0.3282 0.3282 0.8618  -0.01
H 0.1106 0.6084 0.1106  -0.01
H 0.1382 0.6718 0.6718  -0.01
H 0.6718 0.1382 0.6718  -0.01
H 0.8894 0.8894 0.3916  -0.01
H 0.8894 0.3916 0.8894  -0.01
H 0.3282 0.8618 0.3282  -0.01
H 0.3916 0.8894 0.8894  -0.01
H 0.1106 0.1106 0.6084  -0.01
H 0.8618 0.3282 0.3282  -0.01
Pa 0.3880 0.3880 0.3880  1.50
Pa 0.6120 0.6120 0.6120  1.50

Computed properties:
Its space-group type is R-3m (166). The total energy is -4.85 eV/atom. The value obtained for the total magnetic moment is 0.281 μB per atom.


## Pr2PaCo3H12 (PBE)

Data for Pr2PaCo3H12 after structural relaxation.

Cell lengths 6.0142, 6.0142, 6.0142 Å; angles 63.22, 63.22, 63.22 degrees
Last column: magnetic moment on the atom in μB.
Sites, in units of the cell vectors:
Co 0.0000 0.5000 0.0000  0.53
Co 0.5000 0.0000 0.0000  0.53
Co 0.0000 0.0000 0.5000  0.53
H 0.1161 0.7263 0.7263  0.00
H 0.8674 0.4306 0.8674  0.00
H 0.8839 0.2737 0.2737  0.00
H 0.5694 0.1326 0.1326  0.00
H 0.7263 0.1161 0.7263  0.00
H 0.2737 0.8839 0.2737  0.00
H 0.2737 0.2737 0.8839  0.00
H 0.4306 0.8674 0.8674  0.00
H 0.1326 0.1326 0.5694  0.00
H 0.1326 0.5694 0.1326  0.00
H 0.8674 0.8674 0.4306  0.00
H 0.7263 0.7263 0.1161  0.00
Pa 0.0000 0.0000 0.0000  0.72
Pr 0.6148 0.6148 0.6148  0.27
Pr 0.3852 0.3852 0.3852  0.27

Computed properties:
Its space-group type is R-3m (166). The total energy is -4.71 eV/atom. The value obtained for the total magnetic moment is 0.188 μB per atom.


## Pu2PaCo3H12 (PBE)

Data for Pu2PaCo3H12 after structural relaxation.

Cell lengths 5.9953, 5.9953, 5.9953 Å; angles 60.94, 60.94, 60.94 degrees
Last column: magnetic moment on the atom in μB.
Sites, in units of the cell vectors:
H 0.7243 0.7243 0.1330  -0.01
H 0.2757 0.2757 0.8670  -0.01
H 0.1410 0.1410 0.5481  -0.01
H 0.8670 0.2757 0.2757  -0.01
H 0.1410 0.5481 0.1410  -0.01
H 0.5481 0.1410 0.1410  -0.01
H 0.4519 0.8590 0.8590  -0.01
H 0.7243 0.1330 0.7243  -0.01
H 0.8590 0.4519 0.8590  -0.01
H 0.8590 0.8590 0.4519  -0.01
H 0.2757 0.8670 0.2757  -0.01
H 0.1330 0.7243 0.7243  -0.01
Co 0.0000 0.0000 0.5000  0.85
Co 0.0000 0.5000 0.0000  0.85
Co 0.5000 0.0000 0.0000  0.85
Pu 0.3937 0.3937 0.3937  5.60
Pu 0.6063 0.6063 0.6063  5.60
Pa 0.0000 0.0000 0.0000  0.94

Computed properties:
Its space-group type is R-3m (166). The total energy is -5.72 eV/atom. The value obtained for the total magnetic moment is 0.865 μB per atom.


## PaCo2H8Rh (PBE)

Data for PaCo2H8Rh after structural relaxation.

Cell lengths 4.5373, 4.5373, 5.8617 Å; angles 90.00, 90.00, 120.00 degrees
Sites, in units of the cell vectors:
H 0.8192 0.1808 0.1677
H 0.1808 0.3615 0.8323
H 0.6384 0.8192 0.8323
H 0.3616 0.1808 0.1677
H 0.3333 0.6667 0.3726
H 0.1808 0.8192 0.8323
H 0.6667 0.3333 0.6274
H 0.8192 0.6385 0.1677
Pa 0.0000 0.0000 0.5000
Co 0.6667 0.3333 0.3637
Co 0.3333 0.6667 0.6363
Rh 0.0000 0.0000 0.0000

Computed properties:
Its space-group type is P-3m1 (164). The total energy is -4.85 eV/atom. The value obtained for the total magnetic moment is 0.000 μB per atom.


## PaCoHRh2 (PBE)

Data for PaCoHRh2 after structural relaxation.

Cell lengths 4.0208, 4.0330, 4.0330 Å; angles 90.00, 90.00, 90.00 degrees
Last column: magnetic moment on the atom in μB.
Sites, in units of the cell vectors:
Rh 0.0000 0.5000 0.0000  0.12
Rh 0.0000 0.0000 0.5000  0.12
H 0.0000 0.0000 0.0000  0.00
Co 0.5000 0.0000 0.0000  0.62
Pa 0.5000 0.5000 0.5000  -0.21

Computed properties:
Its space-group type is P4/mmm (123). The total energy is -7.51 eV/atom. The value obtained for the total magnetic moment is 0.112 μB per atom.


## ScPaCo2H6 (PBE)

Data for ScPaCo2H6 after structural relaxation.

Cell lengths 4.3626, 4.3626, 5.7761 Å; angles 67.81, 67.81, 60.00 degrees
Last column: magnetic moment on the atom in μB.
Sites, in units of the cell vectors:
Co 0.2124 0.2124 0.3629  0.85
Co 0.7876 0.7876 0.6371  0.85
Pa 0.0000 0.0000 0.0000  0.37
H 0.9308 0.4448 0.1795  0.00
H 0.0692 0.5552 0.8205  0.00
H 0.4448 0.9308 0.1795  0.00
H 0.5552 0.5552 0.8205  0.00
H 0.5552 0.0692 0.8205  0.00
H 0.4448 0.4448 0.1795  0.00
Sc 0.5000 0.5000 0.5000  -0.07

Computed properties:
Its space-group type is R-3m (166). The total energy is -5.37 eV/atom. The value obtained for the total magnetic moment is 0.201 μB per atom.


## PaCo2SiH (PBE)

Data for PaCo2SiH after structural relaxation.

Cell lengths 3.8352, 5.5417, 6.2816 Å; angles 90.00, 90.00, 110.24 degrees
Sites, in units of the cell vectors:
H 0.0000 0.0000 0.0000
H 0.0000 0.0000 0.5000
Si 0.3009 0.6018 0.2500
Si 0.6991 0.3982 0.7500
Co 0.1618 0.3235 0.5454
Co 0.1618 0.3235 0.9546
Co 0.8382 0.6765 0.4546
Co 0.8382 0.6765 0.0454
Pa 0.5849 0.1698 0.2500
Pa 0.4151 0.8302 0.7500

Computed properties:
Its space-group type is Cmcm (63). The total energy is -7.09 eV/atom. The value obtained for the total magnetic moment is 0.000 μB per atom.


## Sm2PaCo3H12 (PBE)

Data for Sm2PaCo3H12 after structural relaxation.

Cell lengths 5.9708, 5.9708, 5.9708 Å; angles 62.71, 62.71, 62.71 degrees
Last column: magnetic moment on the atom in μB.
Sites, in units of the cell vectors:
Co 0.0000 0.5000 0.0000  0.60
Co 0.0000 0.0000 0.5000  0.60
Co 0.5000 0.0000 0.0000  0.60
H 0.5633 0.1372 0.1372  0.00
H 0.4367 0.8628 0.8628  0.00
H 0.1372 0.5633 0.1372  0.00
H 0.1262 0.7250 0.7250  0.00
H 0.8738 0.2750 0.2750  0.00
H 0.2750 0.8738 0.2750  0.00
H 0.1372 0.1372 0.5633  0.00
H 0.7250 0.1262 0.7250  0.00
H 0.2750 0.2750 0.8738  0.00
H 0.8628 0.8628 0.4367  0.00
H 0.7250 0.7250 0.1262  0.00
H 0.8628 0.4367 0.8628  0.00
Sm 0.6136 0.6136 0.6136  0.30
Sm 0.3864 0.3864 0.3864  0.30
Pa 0.0000 0.0000 0.0000  0.70

Computed properties:
Its space-group type is R-3m (166). The total energy is -4.70 eV/atom. The value obtained for the total magnetic moment is 0.201 μB per atom.


## Sr2PaCo3H12 (PBE)

Data for Sr2PaCo3H12 after structural relaxation.

Cell lengths 5.9119, 5.9119, 5.9119 Å; angles 68.11, 68.11, 68.11 degrees
Last column: magnetic moment on the atom in μB.
Sites, in units of the cell vectors:
H 0.8706 0.8706 0.4128  0.00
H 0.1294 0.5872 0.1294  0.00
H 0.4128 0.8706 0.8706  0.00
H 0.2716 0.9109 0.2716  0.00
H 0.5872 0.1294 0.1294  0.00
H 0.7284 0.7284 0.0891  0.00
H 0.1294 0.1294 0.5872  0.00
H 0.8706 0.4128 0.8706  0.00
H 0.0891 0.7284 0.7284  0.00
H 0.9109 0.2716 0.2716  0.00
H 0.2716 0.2716 0.9109  0.00
H 0.7284 0.0891 0.7284  0.00
Co 0.5000 0.0000 0.0000  0.08
Co 0.0000 0.5000 0.0000  0.08
Co 0.0000 0.0000 0.5000  0.08
Pa 0.0000 0.0000 0.0000  0.41
Sr 0.3832 0.3832 0.3832  0.01
Sr 0.6168 0.6168 0.6168  0.01

Computed properties:
Its space-group type is R-3m (166). The total energy is -4.39 eV/atom. The value obtained for the total magnetic moment is 0.041 μB per atom.


## PaTaCo2H6 (PBE)

Data for PaTaCo2H6 after structural relaxation.

Cell lengths 4.3905, 4.3905, 5.6187 Å; angles 67.00, 67.00, 60.00 degrees
Last column: magnetic moment on the atom in μB.
Sites, in units of the cell vectors:
Pa 0.0000 0.0000 0.0000  0.29
Co 0.2025 0.2025 0.3924  0.83
Co 0.7975 0.7975 0.6076  0.83
Ta 0.5000 0.5000 0.5000  0.07
H 0.9255 0.4414 0.1916  0.00
H 0.5586 0.0745 0.8084  0.00
H 0.0745 0.5586 0.8084  0.00
H 0.4414 0.9255 0.1916  0.00
H 0.5586 0.5586 0.8084  0.00
H 0.4414 0.4414 0.1916  0.00

Computed properties:
Its space-group type is R-3m (166). The total energy is -5.86 eV/atom. The value obtained for the total magnetic moment is 0.209 μB per atom.


## PaTaCo4H6 (PBE)

Data for PaTaCo4H6 after structural relaxation.

Cell lengths 4.2198, 4.2198, 6.6798 Å; angles 90.00, 90.00, 120.00 degrees
Last column: magnetic moment on the atom in μB.
Sites, in units of the cell vectors:
H 0.0000 0.5000 0.3528  0.00
H 0.5000 0.0000 0.3528  0.00
H 0.5000 0.5000 0.3528  0.00
H 0.0000 0.5000 0.6472  0.00
H 0.5000 0.0000 0.6472  0.00
H 0.5000 0.5000 0.6472  0.00
Co 0.3333 0.6667 0.8156  0.62
Co 0.3333 0.6667 0.1844  0.62
Co 0.6667 0.3333 0.8156  0.62
Co 0.6667 0.3333 0.1844  0.62
Pa 0.0000 0.0000 0.5000  -0.05
Ta 0.0000 0.0000 0.0000  -0.06

Computed properties:
Its space-group type is P6/mmm (191). The total energy is -6.01 eV/atom. The value obtained for the total magnetic moment is 0.195 μB per atom.


## Th2PaCo3H12 (PBE)

Data for Th2PaCo3H12 after structural relaxation.

Cell lengths 6.1862, 6.1862, 6.1862 Å; angles 58.12, 58.12, 58.12 degrees
Last column: magnetic moment on the atom in μB.
Sites, in units of the cell vectors:
H 0.7170 0.1341 0.7170  0.00
H 0.2830 0.2830 0.8659  0.00
H 0.8700 0.4442 0.8700  0.00
H 0.2830 0.8659 0.2830  0.00
H 0.1300 0.5558 0.1300  0.00
H 0.1341 0.7170 0.7170  0.00
H 0.8700 0.8700 0.4442  0.00
H 0.1300 0.1300 0.5558  0.00
H 0.7170 0.7170 0.1341  0.00
H 0.4442 0.8700 0.8700  0.00
H 0.5558 0.1300 0.1300  0.00
H 0.8659 0.2830 0.2830  0.00
Th 0.6186 0.6186 0.6186  0.13
Th 0.3814 0.3814 0.3814  0.13
Co 0.5000 0.0000 0.0000  0.60
Co 0.0000 0.0000 0.5000  0.60
Co 0.0000 0.5000 0.0000  0.60
Pa 0.0000 0.0000 0.0000  0.20

Computed properties:
Its space-group type is R-3m (166). The total energy is -4.94 eV/atom. The value obtained for the total magnetic moment is 0.136 μB per atom.


## PaTiCo2H6 (PBE)

Data for PaTiCo2H6 after structural relaxation.

Cell lengths 4.3101, 4.3101, 5.5804 Å; angles 67.28, 67.28, 60.00 degrees
Last column: magnetic moment on the atom in μB.
Sites, in units of the cell vectors:
H 0.4435 0.4435 0.1924  0.00
H 0.4435 0.9206 0.1924  0.00
H 0.0794 0.5565 0.8076  0.00
H 0.5565 0.5565 0.8076  0.00
H 0.9206 0.4435 0.1924  0.00
H 0.5565 0.0794 0.8076  0.00
Co 0.7957 0.7957 0.6130  0.76
Co 0.2043 0.2043 0.3870  0.76
Ti 0.5000 0.5000 0.5000  -0.03
Pa 0.0000 0.0000 0.0000  0.04

Computed properties:
Its space-group type is R-3m (166). The total energy is -5.53 eV/atom. The value obtained for the total magnetic moment is 0.154 μB per atom.


## Pa2ZnCo12H3 (PBE)

Data for Pa2ZnCo12H3 after structural relaxation.

Cell lengths 6.6504, 6.6504, 6.6504 Å; angles 58.84, 58.84, 58.84 degrees
Last column: magnetic moment on the atom in μB.
Sites, in units of the cell vectors:
Co 0.8936 0.2741 0.2741  0.94
Co 0.1464 0.1464 0.5387  0.84
Co 0.5387 0.1464 0.1464  0.84
Co 0.2741 0.8936 0.2741  0.94
Co 0.8536 0.4613 0.8536  0.84
Co 0.4613 0.8536 0.8536  0.84
Co 0.7259 0.1064 0.7259  0.94
Co 0.8536 0.8536 0.4613  0.84
Co 0.7259 0.7259 0.1064  0.94
Co 0.1464 0.5387 0.1464  0.84
Co 0.1064 0.7259 0.7259  0.94
Co 0.2741 0.2741 0.8936  0.94
Pa 0.6028 0.6028 0.6028  -0.59
Pa 0.3972 0.3972 0.3972  -0.59
H 0.5000 0.0000 0.0000  -0.01
H 0.0000 0.0000 0.5000  -0.01
H 0.0000 0.5000 0.0000  -0.01
Zn 0.0000 0.0000 0.0000  -0.04

Computed properties:
Its space-group type is R-3m (166). The total energy is -6.40 eV/atom. The value obtained for the total magnetic moment is 0.502 μB per atom.


## PaZnCo2H6 (PBE)

Data for PaZnCo2H6 after structural relaxation.

Cell lengths 4.3019, 4.3019, 5.4983 Å; angles 66.97, 66.97, 60.00 degrees
Last column: magnetic moment on the atom in μB.
Sites, in units of the cell vectors:
Co 0.2093 0.2093 0.3720  0.40
Co 0.7907 0.7907 0.6280  0.40
H 0.9392 0.4396 0.1816  0.00
H 0.5604 0.0608 0.8184  0.00
H 0.4396 0.9392 0.1816  0.00
H 0.4396 0.4396 0.1816  0.00
H 0.0608 0.5604 0.8184  0.00
H 0.5604 0.5604 0.8184  0.00
Pa 0.0000 0.0000 0.0000  0.18
Zn 0.5000 0.5000 0.5000  -0.01

Computed properties:
Its space-group type is R-3m (166). The total energy is -4.69 eV/atom. The value obtained for the total magnetic moment is 0.097 μB per atom.


## PaZnCo4H6 (PBE)

Data for PaZnCo4H6 after structural relaxation.

Cell lengths 4.2496, 4.2496, 6.4811 Å; angles 90.00, 90.00, 120.00 degrees
Last column: magnetic moment on the atom in μB.
Sites, in units of the cell vectors:
Zn 0.0000 0.0000 0.0000  -0.04
H 0.5000 0.5000 0.3534  0.00
H 0.0000 0.5000 0.3534  0.00
H 0.5000 0.0000 0.6466  0.00
H 0.0000 0.5000 0.6466  0.00
H 0.5000 0.0000 0.3534  0.00
H 0.5000 0.5000 0.6466  0.00
Co 0.6667 0.3333 0.8174  1.12
Co 0.3333 0.6667 0.1826  1.12
Co 0.3333 0.6667 0.8174  1.12
Co 0.6667 0.3333 0.1826  1.12
Pa 0.0000 0.0000 0.5000  0.03

Computed properties:
Its space-group type is P6/mmm (191). The total energy is -5.09 eV/atom. The value obtained for the total magnetic moment is 0.367 μB per atom.


## CoH3Pb (PBE)

Data for CoH3Pb after structural relaxation.

Cell lengths 4.1155, 4.1155, 4.1155 Å; angles 90.00, 90.00, 90.00 degrees
Last column: magnetic moment on the atom in μB.
Sites, in units of the cell vectors:
Co 0.5000 0.5000 0.5000  2.14
H 0.0000 0.5000 0.0000  0.01
H 0.5000 0.0000 0.0000  0.02
H 0.0000 0.0000 0.5000  0.01
Pb 0.0000 0.0000 0.0000  -0.02

Computed properties:
Its space-group type is Pm-3m (221). Its distance to the lowest polymorph of the same formula is 930.0 meV per atom. The value obtained for the total magnetic moment is 0.458 μB per atom.